Material: Al2ReRh
Method: DFT, PBE-GGA
State: relaxed

Calculated values
Calculated volume (Å³ per cell): 58.53
M_tot (μB per formula unit): 0.00
Energy relative to the elements (eV per atom): -0.0849
Crystal system: cubic
Energy above the most stable polymorph in this dataset (meV per atom): 467
ρ (g/cm³): 9.7

a b c (Å): 4.3581 4.3581 4.3581
angles (deg): 60.00 60.00 60.00
Sites, in units of the cell vectors:
Rh 0.7500 0.7500 0.7500
Re 0.5000 0.5000 0.5000
Al 0.0000 0.0000 0.0000
Al 0.2500 0.2500 0.2500